# PBE Ce2YZn2In2, relaxed
data_Ce2YZn2In2
_cell_length_a 4.5601
_cell_length_b 4.5601
_cell_length_c 27.6298
_cell_angle_alpha 90.00
_cell_angle_beta 90.00
_cell_angle_gamma 120.00
_symmetry_space_group_name_H-M 'R -3 m'
_symmetry_Int_Tables_number 166
_symmetry_space_group_name_Hall '-R 3 2"'
loop_
_atom_site_label
_atom_site_type_symbol
_atom_site_fract_x
_atom_site_fract_y
_atom_site_fract_z
Ce1 Ce 0.0000 0.0000 0.1424
Y1 Y 0.0000 0.0000 0.0000
Zn1 Zn 0.0000 0.0000 0.4069
In1 In 0.0000 0.0000 0.2663
# M_tot   1.797 μB per formula unit
# Energy of formation   -0.2697 eV/atom
# Calculated volume   23.7 Å³ per atom